[1]
First-principles (PBE-GGA) data for a relaxed structure of Sr3In6AgPb2, as listed in the Alexandria database.

Unit cell a=6.3480 b=6.3480 c=10.4683 alpha=90.00 beta=90.00 gamma=120.00
Space group P-3m1 (No. 164)
Inequivalent atoms, fractional coordinates:
Sr 0.0000 0.0000 0.0000
Sr 0.3333 0.6667 0.5783
In 0.1703 0.3405 0.2752
Ag 0.0000 0.0000 0.5000
Pb 0.3333 0.6667 0.9931

Properties
- Electronic total energy: -2.867 eV/atom
- Energy of formation: -0.22 eV/atom
- Fermi-level density of states: 8.2 states/eV/f.u.
- Magnetization: 0.0 μB per formula unit
- Calculated density: 6.70 g/cm³



[2]
First-principles (PBE-GGA) data for a relaxed structure of SrInAg2Pb, as listed in the Alexandria database.

Unit cell a=4.566 b=4.693 c=12.670 alpha=90.00 beta=90.00 gamma=90.00
Space group Imm2 (No. 44)
Inequivalent atoms, fractional coordinates:
Sr 0.000 0.000 0.000
In 0.000 0.500 0.727
Ag 0.000 0.000 0.607
Ag 0.000 0.500 0.244
Pb 0.000 0.000 0.383

Properties
- Electronic total energy: -2.986 eV/atom
- Energy of formation: -0.22 eV/atom
- Fermi-level density of states: 2.2 states/eV/f.u.
- Magnetization: 0.0 μB per formula unit
- Calculated density: 7.65 g/cm³



[3]
First-principles (PBE-GGA) data for a relaxed structure of Sr2In3Ag4Pb, as listed in the Alexandria database.

Unit cell a=4.733 b=4.733 c=11.922 alpha=90.00 beta=90.00 gamma=90.00
Space group P-4m2 (No. 115)
Inequivalent atoms, fractional coordinates:
Sr 0.000 0.500 0.242
In 0.000 0.500 0.874
In 0.500 0.500 0.500
Ag 0.000 0.000 0.000
Ag 0.000 0.500 0.646
Ag 0.500 0.500 0.000
Pb 0.000 0.000 0.500

Properties
- Electronic total energy: -2.922 eV/atom
- Energy of formation: -0.25 eV/atom
- Fermi-level density of states: 4.5 states/eV/f.u.
- Magnetization: 0.0 μB per formula unit
- Calculated density: 7.20 g/cm³



[4]
First-principles (PBE-GGA) data for a relaxed structure of TbInAgPb, as listed in the Alexandria database.

Unit cell a=7.402 b=7.402 c=7.402 alpha=90.00 beta=90.00 gamma=90.00
Space group F-43m (No. 216)
Inequivalent atoms, fractional coordinates:
Tb 0.000 0.000 0.000
In 0.000 0.000 0.500
Ag 0.250 0.250 0.750
Pb 0.250 0.250 0.250

Properties
- Electronic total energy: -3.626 eV/atom
- Energy of formation: -0.14 eV/atom
- Fermi-level density of states: 3.0 states/eV/f.u.
- Magnetization: 0.0 μB per formula unit
- Calculated density: 9.64 g/cm³
- Offset from the most stable computed form: 179 meV/atom



[5]
First-principles (PBE-GGA) data for a relaxed structure of TbInAgPb, as listed in the Alexandria database.

Unit cell a=4.509 b=4.531 c=4.817 alpha=90.00 beta=90.00 gamma=90.00
Space group Pmmm (No. 47)
Inequivalent atoms, fractional coordinates:
Tb 0.000 0.000 0.000
In 0.500 0.000 0.500
Ag 0.000 0.500 0.500
Pb 0.500 0.500 0.000

Properties
- Electronic total energy: -3.805 eV/atom
- Energy of formation: -0.32 eV/atom
- Fermi-level density of states: 2.2 states/eV/f.u.
- Magnetization: 0.0 μB per formula unit
- Calculated density: 9.93 g/cm³
- Offset from the most stable computed form: 0 meV/atom



[6]
First-principles (PBE-GGA) data for a relaxed structure of InAgTe4Pb2, as listed in the Alexandria database.

Unit cell a=8.877 b=8.959 c=12.541 alpha=90.00 beta=90.00 gamma=90.00
Space group Imma (No. 74)
Inequivalent atoms, fractional coordinates:
In 0.250 0.250 0.250
Ag 0.000 0.000 0.000
Te 0.000 0.012 0.241
Te 0.232 0.250 0.007
Pb 0.000 0.000 0.500
Pb 0.250 0.250 0.750

Properties
- Electronic total energy: -3.447 eV/atom
- Fermi-level density of states: 3.8 states/eV/f.u.
- Energy relative to the elements, uncorrected: -0.250 eV/atom
- Magnetization: 0.0 μB per formula unit
- Calculated density: 7.64 g/cm³



[7]
First-principles (PBE-GGA) data for a relaxed structure of In2AgTe4Pb, as listed in the Alexandria database.

Unit cell a=8.904 b=12.304 c=8.866 alpha=90.00 beta=90.00 gamma=90.00
Space group Fmm2 (No. 42)
Inequivalent atoms, fractional coordinates:
In 0.250 0.250 0.000
Ag 0.000 0.000 0.249
Te 0.000 0.238 0.250
Te 0.250 0.000 0.499
Pb 0.000 0.000 0.748

Properties
- Electronic total energy: -3.309 eV/atom
- Fermi-level density of states: 2.4 states/eV/f.u.
- Energy relative to the elements, uncorrected: -0.234 eV/atom
- Magnetization: 0.0 μB per formula unit
- Calculated density: 7.21 g/cm³



[8]
First-principles (PBE-GGA) data for a relaxed structure of ThInAgPb, as listed in the Alexandria database.

Unit cell a=7.520 b=7.520 c=7.520 alpha=90.00 beta=90.00 gamma=90.00
Space group F-43m (No. 216)
Inequivalent atoms, fractional coordinates:
Th 0.000 0.000 0.000
In 0.250 0.250 0.750
Ag 0.250 0.250 0.250
Pb 0.000 0.000 0.500

Properties
- Electronic total energy: -4.195 eV/atom
- Energy of formation: -0.02 eV/atom
- Fermi-level density of states: 2.7 states/eV/f.u.
- Magnetization: 0.0 μB per formula unit
- Calculated density: 10.34 g/cm³